(1)
This record from OQMD via LeMat-Bulk describes an optimized crystal structure of ErLuReGe2. The functional is PBE.

Computed properties:
The calculation puts the total energy at -0.4939 Ry per atom. As for the space group: No. 12. As for the mass density: 11.05 g/cm3.

Cell: 5.820 5.820 10.006 Å, 115.62 115.62 42.38°
Atoms (fractional coordinates):
Er 0.814 0.814 0.886
Er 0.186 0.186 0.114
Lu 0.006 0.006 0.675
Lu 0.994 0.994 0.325
Re 0.272 0.272 0.632
Re 0.728 0.728 0.368
Ge 0.364 0.364 0.439
Ge 0.509 0.509 0.875
Ge 0.491 0.491 0.125
Ge 0.636 0.636 0.561

***

(2)
This record from OQMD via LeMat-Bulk describes an optimized crystal structure of AlFe2Sb. The functional is PBE.

Computed properties:
The calculation puts the total energy at -0.4471 Ry per atom. As for the space group: No. 221. As for the mass density: 8.07 g/cm3.

Cell: 5.986 5.986 5.986 Å, 90.00 90.00 90.00°
Atoms (fractional coordinates):
Al 0.000 0.500 0.500
Al 0.500 0.500 0.500
Al 0.500 0.000 0.500
Al 0.500 0.500 0.000
Sb 0.000 0.500 0.000
Sb 0.000 0.000 0.500
Sb 0.500 0.000 0.000
Sb 0.000 0.000 0.000
Fe 0.747 0.747 0.253
Fe 0.253 0.747 0.253
Fe 0.747 0.253 0.747
Fe 0.253 0.253 0.253
Fe 0.253 0.253 0.747
Fe 0.747 0.253 0.253
Fe 0.253 0.747 0.747
Fe 0.747 0.747 0.747

***

(3)
This record from OQMD via LeMat-Bulk describes an optimized crystal structure of NaUNb. The functional is PBE.

Computed properties:
The energy above the most stable polymorph in this dataset is 319 meV per atom. The calculation puts the total energy at -0.4175 Ry per atom. As for the space group: No. 216. As for the mass density: 8.23 g/cm3.

Cell: 4.658 4.658 4.658 Å, 60.00 60.00 60.00°
Atoms (fractional coordinates):
Na 0.250 0.250 0.250
Nb 0.750 0.750 0.750
U 0.000 0.000 0.000

***

(4)
This record from OQMD via LeMat-Bulk describes an optimized crystal structure of BeNiBW. The functional is PBE.

Computed properties:
The energy above the most stable polymorph in this dataset is 337 meV per atom. The calculation puts the total energy at -0.4783 Ry per atom. As for the space group: No. 216. As for the mass density: 10.23 g/cm3.

Cell: 3.920 3.920 3.920 Å, 60.00 60.00 60.00°
Atoms (fractional coordinates):
W 0.500 0.500 0.500
B 0.000 0.000 0.000
Ni 0.750 0.750 0.750
Be 0.250 0.250 0.250

***

(5)
This record from OQMD via LeMat-Bulk describes an optimized crystal structure of AsAu17. The functional is PBE.

Computed properties:
The energy above the most stable polymorph in this dataset is 5 meV per atom. The calculation puts the total energy at -0.2397 Ry per atom. As for the space group: No. 143. As for the mass density: 15.92 g/cm3.

Cell: 5.750 5.750 24.945 Å, 90.00 90.00 60.00°
Atoms (fractional coordinates):
Au 0.500 0.500 0.600
Au 0.167 0.167 0.500
Au 0.333 0.333 0.701
Au 0.999 0.501 0.301
Au 0.833 0.334 0.699
Au 0.334 0.833 0.699
Au 0.667 0.167 0.500
Au 0.999 0.492 0.902
Au 0.334 0.788 0.096
Au 0.333 0.834 0.401
Au 0.501 0.501 0.301
Au 0.501 0.999 0.301
Au 0.668 0.167 0.800
Au 0.666 0.170 0.201
Au 0.164 0.666 0.201
Au 0.333 0.333 0.401
Au 0.667 0.667 0.199
Au 0.667 0.667 0.800
Au 0.167 0.165 0.800
Au 0.667 0.667 0.500
Au 0.878 0.334 0.096
Au 0.492 0.508 0.902
Au 0.834 0.333 0.401
Au 0.834 0.834 0.401
Au 0.170 0.164 0.201
Au 0.000 0.000 0.300
Au 0.508 0.999 0.902
Au 0.500 0.001 0.600
Au 0.001 0.500 0.600
Au 0.167 0.667 0.500
Au 0.833 0.833 0.699
Au 0.788 0.878 0.096
Au 0.165 0.668 0.800
Au 0.000 0.000 0.600
As 0.333 0.333 0.102
As 0.000 0.000 0.897

***

(6)
This record from OQMD via LeMat-Bulk describes an optimized crystal structure of MgZnBAu. The functional is PBE.

Computed properties:
The energy above the most stable polymorph in this dataset is 30 meV per atom. The calculation puts the total energy at -0.2009 Ry per atom. As for the space group: No. 216. As for the mass density: 8.66 g/cm3.

Cell: 4.321 4.321 4.321 Å, 60.00 60.00 60.00°
Atoms (fractional coordinates):
Zn 0.000 0.000 0.000
B 0.500 0.500 0.500
Au 0.750 0.750 0.750
Mg 0.250 0.250 0.250

***

(7)
This record from OQMD via LeMat-Bulk describes an optimized crystal structure of Y2HoFe7Ni2. The functional is PBE.

Computed properties:
For the formation energy, the calculation gives -0.12 eV/atom. The calculation puts the total energy at -0.5407 Ry per atom. As for the space group: No. 166. As for the mass density: 7.99 g/cm3.

Cell: 8.711 8.711 8.711 Å, 33.25 33.25 33.25°
Site moments in Bohr magnetons follow the coordinates.
Atoms (fractional coordinates):
Fe 0.419 0.419 0.917  2.16
Fe 0.419 0.917 0.419  2.20
Fe 0.581 0.581 0.083  2.16
Fe 0.917 0.419 0.419  2.14
Fe 0.083 0.581 0.581  2.14
Fe 0.500 0.500 0.500  2.06
Fe 0.581 0.083 0.581  2.20
Ho 0.000 0.000 0.000  -0.40
Ni 0.333 0.333 0.333  0.46
Ni 0.667 0.667 0.667  0.46
Y 0.141 0.141 0.141  -0.42
Y 0.859 0.859 0.859  -0.42

***

(8)
This record from OQMD via LeMat-Bulk describes an optimized crystal structure of LiPuSn. The functional is PBE.

Computed properties:
The calculation puts the total energy at -0.4705 Ry per atom. As for the space group: No. 216. As for the mass density: 6.88 g/cm3.

Cell: 5.016 5.016 5.016 Å, 60.00 60.00 60.00°
Site moments in Bohr magnetons follow the coordinates.
Atoms (fractional coordinates):
Pu 0.250 0.250 0.250  5.31
Sn 0.500 0.500 0.500  -0.10
Li 0.000 0.000 0.000  0.06